Entry from the Alexandria database: a relaxed structure of K3GaI6 (PBE).

Results
The density comes out at 3.40 g/cm3.

Lattice parameters (Å, degrees): 8.6888 8.6888 8.6888 60.00 60.00 60.00
With the nearest neighbours (Å) after each atom.
Atoms (fractional coordinates):
K: 0.0000 0.0000 0.0000  6 I 3.34
K: 0.2500 0.2500 0.2500  12 I 4.35
K: 0.7500 0.7500 0.7500  12 I 4.35
Ga: 0.5000 0.5000 0.5000  6 I 2.81
I: 0.2716 0.2716 0.7284  1 Ga 2.81
I: 0.2716 0.7284 0.2716  1 Ga 2.81
I: 0.2716 0.7284 0.7284  1 Ga 2.81
I: 0.7284 0.2716 0.2716  1 Ga 2.81
I: 0.7284 0.2716 0.7284  1 Ga 2.81
I: 0.7284 0.7284 0.2716  1 Ga 2.81

---

Entry from the Alexandria database: a relaxed structure of K2Ga2I7 (PBE).

Results
The density comes out at 3.29 g/cm3.

Lattice parameters (Å, degrees): 7.0158 17.5374 9.2004 90.00 99.88 90.00
With the nearest neighbours (Å) after each atom.
Atoms (fractional coordinates):
K: 0.1299 0.1519 0.4250  6 I 3.56-3.71
K: 0.1299 0.3481 0.9250  6 I 3.56-3.71
K: 0.8701 0.6519 0.0750  6 I 3.56-3.71
K: 0.8701 0.8481 0.5750  6 I 3.56-3.71
Ga: 0.3223 0.6093 0.6462  4 I 2.66-2.76
Ga: 0.3223 0.8907 0.1462  4 I 2.66-2.76
Ga: 0.6777 0.1093 0.8538  4 I 2.66-2.76
Ga: 0.6777 0.3907 0.3538  4 I 2.66-2.76
I: 0.0154 0.6647 0.4681  1 Ga 2.66
I: 0.0154 0.8353 0.9681  1 Ga 2.66
I: 0.1988 0.5482 0.8804  1 Ga 2.68
I: 0.1988 0.9518 0.3804  1 Ga 2.68
I: 0.4447 0.2227 0.7438  1 Ga 2.66
I: 0.4447 0.2773 0.2438  1 Ga 2.66
I: 0.5000 0.0000 0.0000  2 Ga 2.76
I: 0.5000 0.5000 0.5000  2 Ga 2.76
I: 0.5553 0.7227 0.7562  1 Ga 2.66
I: 0.5553 0.7773 0.2562  1 Ga 2.66
I: 0.8012 0.0482 0.6196  1 Ga 2.68
I: 0.8012 0.4518 0.1196  1 Ga 2.68
I: 0.9846 0.1647 0.0319  1 Ga 2.66
I: 0.9846 0.3353 0.5319  1 Ga 2.66

---

Entry from the Alexandria database: a relaxed structure of KGa3I (PBE).

Results
The density comes out at 2.78 g/cm3.

Lattice parameters (Å, degrees): 6.0770 6.0770 6.0770 90.00 90.00 90.00
With the nearest neighbours (Å) after each atom.
Atoms (fractional coordinates):
K: 0.0000 0.0000 0.0000  6 Ga 3.04
Ga: 0.0000 0.0000 0.5000  2 K 3.04
Ga: 0.0000 0.5000 0.0000  2 K 3.04
Ga: 0.5000 0.0000 0.0000  2 K 3.04
I: 0.5000 0.5000 0.5000  12 Ga 4.30

---

Entry from the Alexandria database: a relaxed structure of K3GaI6 (PBE).

Results
The density comes out at 2.79 g/cm3.

Lattice parameters (Å, degrees): 11.3694 11.3694 8.9180 90.00 90.00 101.61
With the nearest neighbours (Å) after each atom.
Atoms (fractional coordinates):
K: 0.0567 0.9433 0.5000  6 I 3.48-3.82
K: 0.1640 0.3789 0.4127  4 I 3.38-3.71
K: 0.3789 0.1640 0.9127  4 I 3.38-3.71
K: 0.6211 0.8360 0.4127  4 I 3.38-3.71
K: 0.8360 0.6211 0.9127  4 I 3.38-3.71
K: 0.9433 0.0567 0.0000  6 I 3.48-3.82
Ga: 0.3025 0.6975 0.7218  4 I 2.55-2.62
Ga: 0.6975 0.3025 0.2218  4 I 2.55-2.62
I: 0.0823 0.6281 0.6237  1 Ga 2.62
I: 0.1326 0.2036 0.7224  4 K 3.38-3.52
I: 0.2036 0.1326 0.2224  4 K 3.38-3.52
I: 0.3117 0.6883 0.0076  1 Ga 2.55
I: 0.3719 0.9177 0.6237  1 Ga 2.62
I: 0.4340 0.5660 0.5893  1 Ga 2.60
I: 0.5660 0.4340 0.0893  1 Ga 2.60
I: 0.6281 0.0823 0.1237  1 Ga 2.62
I: 0.6883 0.3117 0.5076  1 Ga 2.55
I: 0.7964 0.8674 0.7224  4 K 3.38-3.52
I: 0.8674 0.7964 0.2224  4 K 3.38-3.52
I: 0.9177 0.3719 0.1237  1 Ga 2.62

---

| no. | formation energy from raw total energies (eV/atom) | VASP energy (eV per atom) | energy above the most stable polymorph in this dataset (meV/atom) |
| --- | --- | --- | --- |
| 1 | -0.931 | -2.493 | 131 |
| 2 | -0.794 | -2.530 | 0 |
| 3 | 0.736 | -1.610 | 414 |
| 4 | -1.061 | -2.623 | 0 |